A relaxed YZrH crystal, computed with PBE-GGA.

The structure in CIF format:
```
data_YZrH
_cell_length_a 10.916
_cell_length_b 3.395
_cell_length_c 5.919
_cell_angle_alpha 90.00
_cell_angle_beta 90.00
_cell_angle_gamma 90.00
_symmetry_space_group_name_H-M 'P n m a'
_symmetry_Int_Tables_number 62
loop_
_symmetry_equiv_pos_as_xyz
'x,y,z'
'-x,-y,-z'
'-x+1/2,-y,z+1/2'
'x+1/2,y,-z+1/2'
'x+1/2,-y+1/2,-z+1/2'
'-x+1/2,y+1/2,z+1/2'
'-x,y+1/2,-z'
'x,-y+1/2,z'
loop_
_atom_site_label
_atom_site_fract_x
_atom_site_fract_y
_atom_site_fract_z
Y1 0.000 0.250 0.248
Zr1 0.250 0.250 0.581
H1 0.147 0.750 0.410
```

offset from the most stable computed form: 12 meV/atom
D(E_F): 9.5 states/eV/cell
magnetic moment: 0.000 μB/f.u.
E: -6.2904 eV per atom


A relaxed YZr2H crystal, computed with PBE-GGA.

The structure in CIF format:
```
data_YZr2H
_cell_length_a 3.2340
_cell_length_b 3.2340
_cell_length_c 26.3353
_cell_angle_alpha 90.00
_cell_angle_beta 90.00
_cell_angle_gamma 120.00
_symmetry_space_group_name_H-M 'R -3 m'
_symmetry_Int_Tables_number 166
_symmetry_space_group_name_Hall '-R 3 2"'
loop_
_atom_site_label
_atom_site_fract_x
_atom_site_fract_y
_atom_site_fract_z
Y1 0.0000 0.0000 0.0000
Zr1 0.0000 0.0000 0.1169
H1 0.0000 0.0000 0.5000
```

offset from the most stable computed form: 92 meV/atom
D(E_F): 15.6 states/eV/cell
magnetic moment: 0.001 μB/f.u.
E: -6.6385 eV per atom